First-principles (PBE) data for a relaxed structure of Rb2LiRuO6, as listed in Alexandria.

Fermi-level density of states: 0.701 states/eV per atom
formation energy without anion corrections: -975 meV/atom

a = 5.0574 Å, b = 6.1570 Å, c = 6.1570 Å
α = 120.00°, β = 90.00°, γ = 90.00°
Site moments in Bohr magnetons follow the coordinates.
Fractional positions:
O 0.2194 0.8579 0.1421  0.16
Rb 0.7280 0.6667 0.3333  0.00
O 0.7806 0.7158 0.8579  0.16
Ru 0.0000 0.0000 0.0000  -0.15
O 0.2194 0.8579 0.7158  0.16
O 0.7806 0.1421 0.8579  0.16
Li 0.5000 0.0000 0.0000  -0.01
Rb 0.2720 0.3333 0.6667  0.00
O 0.7806 0.1421 0.2842  0.16
O 0.2194 0.2842 0.1421  0.16

=====

First-principles (PBE) data for a relaxed structure of RbLiRu2O8, as listed in Alexandria.

Fermi-level density of states: 0.768 states/eV per atom
formation energy without anion corrections: -1088 meV/atom

a = 5.4032 Å, b = 5.4032 Å, c = 8.2399 Å
α = 85.18°, β = 85.18°, γ = 66.33°
Site moments in Bohr magnetons follow the coordinates.
Fractional positions:
Ru 0.3761 0.3761 0.7938  0.52
Rb 0.0000 0.0000 0.5000  0.00
O 0.3144 0.3144 0.5988  0.11
O 0.2285 0.2285 0.9465  0.09
O 0.6856 0.6856 0.4012  0.11
O 0.7715 0.7715 0.0535  0.09
O 0.2401 0.7279 0.8134  0.09
O 0.7599 0.2721 0.1866  0.09
O 0.2721 0.7599 0.1866  0.09
Li 0.0000 0.0000 0.0000  0.01
O 0.7279 0.2401 0.8134  0.09
Ru 0.6239 0.6239 0.2062  0.52

=====

First-principles (PBE) data for a relaxed structure of Rb2LiS2O6, as listed in Alexandria.

Fermi-level density of states: 0.164 states/eV per atom
formation energy without anion corrections: -1567 meV/atom

a = 5.8673 Å, b = 5.8673 Å, c = 7.3281 Å
α = 66.40°, β = 66.40°, γ = 60.00°
Site moments in Bohr magnetons follow the coordinates.
Fractional positions:
O 0.2572 0.2572 0.8052  0.07
Rb 0.7532 0.7532 0.7404  0.00
O 0.7428 0.3196 0.1948  0.07
O 0.6804 0.2572 0.8052  0.07
S 0.5758 0.5758 0.2727  0.14
Rb 0.2468 0.2468 0.2596  0.00
O 0.3196 0.7428 0.1948  0.07
O 0.2572 0.6804 0.8052  0.07
Li 0.0000 0.0000 0.0000  0.01
O 0.7428 0.7428 0.1948  0.07
S 0.4242 0.4242 0.7273  0.14

=====

First-principles (PBE) data for a relaxed structure of RbLiS2O8, as listed in Alexandria.

Fermi-level density of states: 0.754 states/eV per atom
formation energy without anion corrections: -1404 meV/atom

a = 5.3667 Å, b = 5.3667 Å, c = 7.8597 Å
α = 90.00°, β = 90.00°, γ = 120.00°
Site moments in Bohr magnetons follow the coordinates.
Fractional positions:
O 0.1826 0.8174 0.6564  0.23
O 0.6348 0.8174 0.6564  0.23
O 0.3652 0.1826 0.3436  0.23
Rb 0.0000 0.0000 0.0000  0.00
O 0.8174 0.6348 0.3436  0.23
Li 0.0000 0.0000 0.5000  0.00
O 0.3333 0.6667 0.9069  0.20
O 0.6667 0.3333 0.0931  0.20
S 0.6667 0.3333 0.2821  -0.02
O 0.1826 0.3652 0.6564  0.23
S 0.3333 0.6667 0.7179  -0.02
O 0.8174 0.1826 0.3436  0.23

=====

First-principles (PBE) data for a relaxed structure of RbLi3S4O12, as listed in Alexandria.

Fermi-level density of states: 0.332 states/eV per atom
formation energy without anion corrections: -1143 meV/atom

a = 6.7283 Å, b = 6.7283 Å, c = 6.7283 Å
α = 102.37°, β = 102.37°, γ = 102.37°
Site moments in Bohr magnetons follow the coordinates.
Fractional positions:
Li 0.4272 0.0000 0.5728  0.01
O 0.3908 0.9605 0.2583  0.16
O 0.0546 0.9454 0.5000  0.08
O 0.5000 0.3578 0.6422  0.09
S 0.5000 0.5000 0.5000  0.19
O 0.0395 0.6092 0.7417  0.16
Li 0.0000 0.5728 0.4272  0.01
Li 0.5728 0.4272 0.0000  0.01
Rb 0.0000 0.0000 0.0000  0.01
O 0.5000 0.0546 0.9454  0.08
S 0.9110 0.0890 0.5000  0.17
O 0.9454 0.5000 0.0546  0.08
S 0.5000 0.9110 0.0890  0.17
S 0.0890 0.5000 0.9110  0.17
O 0.3578 0.6422 0.5000  0.09
O 0.9605 0.2583 0.3908  0.16
O 0.2583 0.3908 0.9605  0.16
O 0.7417 0.0395 0.6092  0.16
O 0.6092 0.7417 0.0395  0.16
O 0.6422 0.5000 0.3578  0.09

=====

First-principles (PBE) data for a relaxed structure of Rb2LiSbO4, as listed in Alexandria.

Fermi-level density of states: 0.000 states/eV per atom
formation energy without anion corrections: -1533 meV/atom

a = 5.2085 Å, b = 6.8087 Å, c = 10.4784 Å
α = 84.54°, β = 75.61°, γ = 67.51°
Fractional positions:
Rb 0.5764 0.5000 0.8472
O 0.2199 0.1747 0.9060
Rb 0.8264 0.0000 0.3472
O 0.8760 0.6747 0.5940
Sb 0.2500 0.5000 0.5000
Sb 0.5000 0.0000 0.0000
O 0.5301 0.3253 0.5940
O 0.4493 0.6747 0.4060
O 0.6054 0.1747 0.0940
O 0.8740 0.8253 0.9060
O 0.3007 0.8253 0.0940
Li 0.0000 0.0000 0.0000
Rb 0.1736 0.0000 0.6528
O 0.1446 0.3253 0.4060
Li 0.7500 0.5000 0.5000
Rb 0.9236 0.5000 0.1528

=====

First-principles (PBE) data for a relaxed structure of Rb3LiSb2O6, as listed in Alexandria.

Fermi-level density of states: 0.291 states/eV per atom
formation energy without anion corrections: -1312 meV/atom

a = 6.3551 Å, b = 6.3551 Å, c = 7.4206 Å
α = 90.00°, β = 90.00°, γ = 120.00°
Site moments in Bohr magnetons follow the coordinates.
Fractional positions:
Li 0.0000 0.0000 0.5000  0.01
O 0.8283 0.6567 0.6982  0.18
O 0.1717 0.3433 0.3018  0.18
Rb 0.6667 0.3333 0.3429  0.01
O 0.6567 0.8283 0.3018  0.18
Rb 0.0000 0.0000 0.0000  0.00
Rb 0.3333 0.6667 0.6571  0.01
O 0.8283 0.1717 0.6982  0.18
O 0.3433 0.1717 0.6982  0.18
Sb 0.3333 0.6667 0.2051  0.10
Sb 0.6667 0.3333 0.7949  0.10
O 0.1717 0.8283 0.3018  0.18

=====

First-principles (PBE) data for a relaxed structure of RbLiSbO3, as listed in Alexandria.

Fermi-level density of states: 0.303 states/eV per atom
formation energy without anion corrections: -1506 meV/atom

a = 3.4316 Å, b = 6.5454 Å, c = 8.6320 Å
α = 90.00°, β = 90.00°, γ = 105.20°
Fractional positions:
Rb 0.2717 0.5434 0.2500
O 0.9704 0.9407 0.2500
Li 0.4545 0.9090 0.7500
O 0.6041 0.2082 0.0438
Rb 0.7283 0.4566 0.7500
O 0.3959 0.7918 0.5438
O 0.6041 0.2082 0.4562
O 0.0296 0.0593 0.7500
Sb 0.0000 0.0000 0.0000
O 0.3959 0.7918 0.9562
Sb 0.0000 0.0000 0.5000
Li 0.5455 0.0910 0.2500

=====

First-principles (PBE) data for a relaxed structure of RbLiSbO4, as listed in Alexandria.

Fermi-level density of states: 1.292 states/eV per atom
formation energy without anion corrections: -1300 meV/atom

a = 5.9390 Å, b = 5.9390 Å, c = 5.8354 Å
α = 120.59°, β = 120.59°, γ = 90.00°
Site moments in Bohr magnetons follow the coordinates.
Fractional positions:
O 0.2503 0.1291 0.7340  0.21
O 0.8709 0.5163 0.2660  0.21
Li 0.2500 0.7500 0.5000  0.00
O 0.4837 0.6049 0.7340  0.21
Sb 0.5000 0.5000 0.0000  -0.03
O 0.3951 0.7497 0.2660  0.21
Rb 0.0000 0.0000 0.0000  0.00

=====

First-principles (PBE) data for a relaxed structure of RbLiSc2O4, as listed in Alexandria.

Fermi-level density of states: 0.000 states/eV per atom
formation energy without anion corrections: -2780 meV/atom

a = 3.2822 Å, b = 5.7782 Å, c = 11.1816 Å
α = 90.00°, β = 90.00°, γ = 106.50°
Fractional positions:
Rb 0.0986 0.1971 0.7500
Sc 0.3631 0.7262 0.9414
O 0.0000 0.0000 0.0000
O 0.6021 0.2043 0.2500
Sc 0.6369 0.2738 0.0586
O 0.2499 0.4999 0.0950
Li 0.1820 0.3639 0.2500
O 0.7501 0.5001 0.9050
O 0.7501 0.5001 0.5950
Sc 0.3631 0.7262 0.5586
Sc 0.6369 0.2738 0.4414
Rb 0.9014 0.8029 0.2500
O 0.2499 0.4999 0.4050
O 0.3979 0.7957 0.7500
O 0.0000 0.0000 0.5000
Li 0.8180 0.6361 0.7500

=====

First-principles (PBE) data for a relaxed structure of Rb4LiSe4O14, as listed in Alexandria.

E above lowest polymorph: 0.011 eV/atom
formation energy without anion corrections: -1159 meV/atom

a = 7.9124 Å, b = 8.0537 Å, c = 8.0991 Å
α = 91.86°, β = 90.13°, γ = 118.85°
Site moments in Bohr magnetons follow the coordinates.
Fractional positions:
Li 0.3930 0.0884 0.1672  0.00
Rb 0.2813 0.7500 0.4123  0.00
O 0.8805 0.6189 0.4756  0.00
O 0.2788 0.4334 0.2131  0.00
Se 0.2236 0.9332 0.8804  0.16
O 0.7193 0.5499 0.7781  0.00
O 0.9640 0.0662 0.2540  0.00
Se 0.1838 0.2664 0.3488  0.00
O 0.3102 0.1547 0.3757  0.00
O 0.6692 0.8609 0.0499  0.00
Se 0.7897 0.7009 0.6236  0.00
Rb 0.3250 0.4975 0.8521  0.00
Se 0.7799 0.0795 0.1251  0.00
O 0.3370 0.8541 0.7504  0.13
Rb 0.7773 0.5714 0.1325  0.00
O 0.9604 0.9216 0.6957  0.22
O 0.1946 0.8243 0.0656  0.15
O 0.8896 0.2502 0.9946  0.00
O 0.1161 0.3346 0.5178  0.00
O 0.6068 0.7279 0.5520  0.05
O 0.3814 0.1645 0.9366  0.13
O 0.6456 0.1289 0.2556  0.00
Rb 0.7179 0.1893 0.6517  0.00

=====

First-principles (PBE) data for a relaxed structure of Rb3LiSe2O6, as listed in Alexandria.

Fermi-level density of states: 0.000 states/eV per atom
formation energy without anion corrections: -1432 meV/atom

a = 6.0628 Å, b = 6.0628 Å, c = 7.4070 Å
α = 90.00°, β = 90.00°, γ = 120.00°
Fractional positions:
Se 0.6667 0.3333 0.7961
O 0.8167 0.1833 0.7009
O 0.6335 0.8167 0.2991
Rb 0.0000 0.0000 0.0000
Se 0.3333 0.6667 0.2039
O 0.3665 0.1833 0.7009
Li 0.0000 0.0000 0.5000
Rb 0.3333 0.6667 0.6556
Rb 0.6667 0.3333 0.3444
O 0.1833 0.8167 0.2991
O 0.1833 0.3665 0.2991
O 0.8167 0.6335 0.7009

=====

Please write out number 10 again, unchanged.
First-principles (PBE) data for a relaxed structure of RbLiSc2O4, as listed in Alexandria.

Fermi-level density of states: 0.000 states/eV per atom
formation energy without anion corrections: -2780 meV/atom

a = 3.2822 Å, b = 5.7782 Å, c = 11.1816 Å
α = 90.00°, β = 90.00°, γ = 106.50°
Fractional positions:
Rb 0.0986 0.1971 0.7500
Sc 0.3631 0.7262 0.9414
O 0.0000 0.0000 0.0000
O 0.6021 0.2043 0.2500
Sc 0.6369 0.2738 0.0586
O 0.2499 0.4999 0.0950
Li 0.1820 0.3639 0.2500
O 0.7501 0.5001 0.9050
O 0.7501 0.5001 0.5950
Sc 0.3631 0.7262 0.5586
Sc 0.6369 0.2738 0.4414
Rb 0.9014 0.8029 0.2500
O 0.2499 0.4999 0.4050
O 0.3979 0.7957 0.7500
O 0.0000 0.0000 0.5000
Li 0.8180 0.6361 0.7500